# ScPt2Br

Crystalline ScPt2Br at its relaxed geometry (PBE, Alexandria). Values from VASP.

## Properties
- ΔE_f (raw): -0.69 eV per atom
- Space-group type: Cm
- Final energy: -0.420 Ry per atom

The structure in Quantum ESPRESSO input format:
```
&SYSTEM
  ibrav = 0, nat = 4, ntyp = 3
/
ATOMIC_SPECIES
Br 79.90 Br.upf
Pt 195.08 Pt.upf
Sc 44.96 Sc.upf
CELL_PARAMETERS angstrom
-1.520 -3.327 -3.146
0.652 -4.692 -0.916
-5.466 -2.826 3.594
ATOMIC_POSITIONS crystal
Br 0.085 0.085 0.287
Pt 0.089 0.089 0.831
Pt 0.812 0.812 0.802
Sc 0.513 0.513 0.580
```

=====

# YMo2Os

Crystalline YMo2Os at its relaxed geometry (PBE, Alexandria). Values from VASP.

## Properties
- Space-group type: I4/mmm
- Final energy: -0.690 Ry per atom

The structure in Quantum ESPRESSO input format:
```
&SYSTEM
  ibrav = 0, nat = 4, ntyp = 3
/
ATOMIC_SPECIES
Mo 95.94 Mo.upf
Os 190.23 Os.upf
Y 88.91 Y.upf
CELL_PARAMETERS angstrom
-1.644 3.252 4.129
2.529 -0.244 4.886
1.328 0.432 -5.327
ATOMIC_POSITIONS crystal
Mo 0.000 0.000 0.000
Mo 0.500 0.500 0.000
Os 0.250 0.750 0.500
Y 0.750 0.250 0.500
```

=====

# K2TbScSe4

Crystalline K2TbScSe4 at its relaxed geometry (PBE, Alexandria). Values from VASP.

## Properties
- ΔE_f (raw): -1.68 eV per atom
- Space-group type: P2/m
- Final energy: -0.373 Ry per atom

The structure in Quantum ESPRESSO input format:
```
&SYSTEM
  ibrav = 0, nat = 8, ntyp = 4
/
ATOMIC_SPECIES
K 39.10 K.upf
Tb 158.93 Tb.upf
Sc 44.96 Sc.upf
Se 78.96 Se.upf
CELL_PARAMETERS angstrom
4.125 0.000 0.000
0.000 7.141 0.119
0.000 -2.507 7.611
ATOMIC_POSITIONS crystal
K 0.500 0.000 0.500
K 0.000 0.500 0.500
Tb 0.500 0.500 0.000
Sc 0.000 0.000 0.000
Se 0.500 0.221 0.198
Se 0.500 0.779 0.802
Se 0.000 0.254 0.797
Se 0.000 0.746 0.203
```

=====

# LaGe3I

Crystalline LaGe3I at its relaxed geometry (PBE, Alexandria). Values from VASP.

## Properties
- ΔE_f (raw): 0.85 eV per atom
- Space-group type: Pm-3m
- Final energy: -0.237 Ry per atom

The structure in Quantum ESPRESSO input format:
```
&SYSTEM
  ibrav = 0, nat = 5, ntyp = 3
/
ATOMIC_SPECIES
I 126.90 I.upf
Ge 72.64 Ge.upf
La 138.91 La.upf
CELL_PARAMETERS angstrom
-5.775 0.407 0.053
-0.404 -5.769 0.267
0.071 0.263 5.783
ATOMIC_POSITIONS crystal
I 0.500 0.500 0.500
Ge 0.000 0.500 0.000
Ge 0.000 0.000 0.500
Ge 0.500 0.000 0.000
La 0.000 0.000 0.000
```

=====

# Be2ReTe

Crystalline Be2ReTe at its relaxed geometry (PBE, Alexandria). Values from VASP.

## Properties
- ΔE_f (raw): 1.18 eV per atom
- Space-group type: I-42d
- Final energy: -0.337 Ry per atom

The structure in Quantum ESPRESSO input format:
```
&SYSTEM
  ibrav = 0, nat = 8, ntyp = 3
/
ATOMIC_SPECIES
Re 186.21 Re.upf
Te 127.60 Te.upf
Be 9.01 Be.upf
CELL_PARAMETERS angstrom
-1.696 0.121 5.648
-5.511 -1.334 -1.626
-2.711 -4.729 2.367
ATOMIC_POSITIONS crystal
Re 0.000 0.000 0.000
Re 0.750 0.250 0.500
Te 0.500 0.500 0.000
Te 0.250 0.750 0.500
Be 0.639 0.125 0.250
Be 0.111 0.625 0.250
Be 0.375 0.361 0.750
Be 0.875 0.889 0.750
```

=====

# K3Np2O9

Crystalline K3Np2O9 at its relaxed geometry (PBE, Alexandria). Values from VASP.

## Properties
- ΔE_f (raw): -2.11 eV per atom
- Space-group type: R-3c
- Final energy: -0.542 Ry per atom

The structure in Quantum ESPRESSO input format:
```
&SYSTEM
  ibrav = 0, nat = 28, ntyp = 3
/
ATOMIC_SPECIES
K 39.10 K.upf
Np 237.00 Np.upf
O 16.00 O.upf
CELL_PARAMETERS angstrom
-2.747 -5.617 4.935
-0.783 -5.465 -5.741
7.183 -3.196 1.276
ATOMIC_POSITIONS crystal
K 0.419 0.750 0.081
K 0.250 0.919 0.581
K 0.919 0.581 0.250
K 0.081 0.419 0.750
K 0.750 0.081 0.419
K 0.581 0.250 0.919
Np 0.147 0.147 0.147
Np 0.647 0.647 0.647
Np 0.853 0.853 0.853
Np 0.353 0.353 0.353
O 0.751 0.913 0.069
O 0.087 0.931 0.249
O 0.250 0.391 0.109
O 0.587 0.749 0.431
O 0.609 0.891 0.750
O 0.891 0.750 0.609
O 0.251 0.569 0.413
O 0.569 0.413 0.251
O 0.931 0.249 0.087
O 0.069 0.751 0.913
O 0.431 0.587 0.749
O 0.391 0.109 0.250
O 0.749 0.431 0.587
O 0.109 0.250 0.391
O 0.413 0.251 0.569
O 0.750 0.609 0.891
O 0.913 0.069 0.751
O 0.249 0.087 0.931
```

=====

# CaSnNF2

Crystalline CaSnNF2 at its relaxed geometry (PBE, Alexandria). Values from VASP.

## Properties
- ΔE_f (raw): -1.36 eV per atom
- Space-group type: P4/mmm
- Final energy: -0.366 Ry per atom

The structure in Quantum ESPRESSO input format:
```
&SYSTEM
  ibrav = 0, nat = 5, ntyp = 4
/
ATOMIC_SPECIES
Ca 40.08 Ca.upf
N 14.01 N.upf
Sn 118.71 Sn.upf
F 19.00 F.upf
CELL_PARAMETERS angstrom
4.220 0.000 0.000
0.000 4.220 0.000
0.000 0.000 4.945
ATOMIC_POSITIONS crystal
Ca 0.000 0.000 0.000
N 0.000 0.000 0.500
Sn 0.500 0.500 0.500
F 0.000 0.500 0.000
F 0.500 0.000 0.000
```

=====

# GdTmCdPt

Crystalline GdTmCdPt at its relaxed geometry (PBE, Alexandria). Values from VASP.

## Properties
- Space-group type: F-43m
- Final energy: -0.522 Ry per atom

The structure in Quantum ESPRESSO input format:
```
&SYSTEM
  ibrav = 0, nat = 4, ntyp = 4
/
ATOMIC_SPECIES
Gd 157.25 Gd.upf
Tm 168.93 Tm.upf
Pt 195.08 Pt.upf
Cd 112.41 Cd.upf
CELL_PARAMETERS angstrom
-3.944 -0.711 3.136
0.087 -3.808 3.375
0.482 1.010 4.965
ATOMIC_POSITIONS crystal
Gd 0.500 0.500 0.500
Tm 0.000 0.000 0.000
Pt 0.750 0.750 0.750
Cd 0.250 0.250 0.250
```

=====

| no. | total magnetic moment (μB/f.u.) |
| --- | --- |
| 1 | 0.0 |
| 2 | 0.0 |
| 3 | 0.0 |
| 4 | 0.0 |
| 5 | 1.6 |
| 6 | 0.9 |
| 7 | 1.0 |
| 8 | 7.1 |